(1)
The following is a PBE calculation of CeSb2As after structural relaxation, from Alexandria.

Calculated values
* formation energy without anion corrections: -0.59 eV/atom
* crystal system: tetragonal
* ρ: 7.7 g/cm³

Geometry as CIF:
```
data_CeSb2As
_chemical_formula_sum 'Ce1 Sb2 As1'
_symmetry_space_group_name_H-M 'P 4/m m m'
_symmetry_Int_Tables_number 123
_symmetry_space_group_name_Hall '-P 4 2'
_cell_length_a 4.472
_cell_length_b 4.472
_cell_length_c 4.951
_cell_angle_alpha 90.00
_cell_angle_beta 90.00
_cell_angle_gamma 90.00
loop_
_atom_site_label
_atom_site_type_symbol
_atom_site_fract_x
_atom_site_fract_y
_atom_site_fract_z
_atom_site_occupancy
Ce1 Ce 0.000 0.000 0.000 1
Sb1 Sb 0.000 0.500 0.500 1
As1 As 0.500 0.500 0.000 1
```

---

(2)
The following is a PBE calculation of MnOsS2Cl after structural relaxation, from Alexandria.

Calculated values
* formation energy without anion corrections: 0.51 eV/atom
* crystal system: tetragonal
* ρ: 5.5 g/cm³

Geometry as CIF:
```
data_MnOsS2Cl
_chemical_formula_sum 'Mn1 Os1 S2 Cl1'
_symmetry_space_group_name_H-M 'P 4/m m m'
_symmetry_Int_Tables_number 123
_symmetry_space_group_name_Hall '-P 4 2'
_cell_length_a 4.592
_cell_length_b 4.592
_cell_length_c 4.939
_cell_angle_alpha 90.00
_cell_angle_beta 90.00
_cell_angle_gamma 90.00
loop_
_atom_site_label
_atom_site_type_symbol
_atom_site_fract_x
_atom_site_fract_y
_atom_site_fract_z
_atom_site_occupancy
Mn1 Mn 0.000 0.000 0.000 1
Os1 Os 0.500 0.500 0.500 1
S1 S 0.000 0.500 0.500 1
Cl1 Cl 0.500 0.500 0.000 1
```

---

(3)
The following is a PBE calculation of SrFe2Re after structural relaxation, from Alexandria.

Calculated values
* DFT formation energy: 1.205 eV/atom
* crystal system: cubic
* ρ: 9.8 g/cm³

Geometry as CIF:
```
data_SrFe2Re
_chemical_formula_sum 'Sr4 Fe8 Re4'
_symmetry_space_group_name_H-M 'F -4 3 m'
_symmetry_Int_Tables_number 216
_symmetry_space_group_name_Hall 'F -4 2 3'
_cell_length_a 6.392
_cell_length_b 6.392
_cell_length_c 6.392
_cell_angle_alpha 90.00
_cell_angle_beta 90.00
_cell_angle_gamma 90.00
loop_
_atom_site_label
_atom_site_type_symbol
_atom_site_fract_x
_atom_site_fract_y
_atom_site_fract_z
_atom_site_occupancy
Sr1 Sr 0.000 0.000 0.000 1
Fe1 Fe 0.000 0.000 0.500 1
Fe2 Fe 0.250 0.250 0.250 1
Re1 Re 0.250 0.250 0.750 1
```

---

(4)
The following is a PBE calculation of TbCdAg after structural relaxation, from Alexandria.

Calculated values
* DFT formation energy: -0.179 eV/atom
* crystal system: trigonal
* ρ: 8.6 g/cm³

Geometry as CIF:
```
data_TbCdAg
_chemical_formula_sum 'Tb3 Cd3 Ag3'
_symmetry_space_group_name_H-M 'R 3 m'
_symmetry_Int_Tables_number 160
_symmetry_space_group_name_Hall 'R 3 -2"'
_cell_length_a 5.3198
_cell_length_b 5.3198
_cell_length_c 9.0127
_cell_angle_alpha 90.00
_cell_angle_beta 90.00
_cell_angle_gamma 120.00
loop_
_atom_site_label
_atom_site_type_symbol
_atom_site_fract_x
_atom_site_fract_y
_atom_site_fract_z
_atom_site_occupancy
Tb1 Tb 0.0000 0.0000 0.0000 1
Cd1 Cd 0.0000 0.0000 0.6394 1
Ag1 Ag 0.0000 0.0000 0.3312 1
```

---

(5)
The following is a PBE calculation of MgBe2Te after structural relaxation, from Alexandria.

Calculated values
* formation energy without anion corrections: 0.60 eV/atom
* crystal system: orthorhombic
* ρ: 4.1 g/cm³

Geometry as CIF:
```
data_MgBe2Te
_chemical_formula_sum 'Mg2 Be4 Te2'
_symmetry_space_group_name_H-M 'I m m m'
_symmetry_Int_Tables_number 71
_symmetry_space_group_name_Hall '-I 2 2'
_cell_length_a 3.752
_cell_length_b 4.415
_cell_length_c 8.268
_cell_angle_alpha 90.00
_cell_angle_beta 90.00
_cell_angle_gamma 90.00
loop_
_atom_site_label
_atom_site_type_symbol
_atom_site_fract_x
_atom_site_fract_y
_atom_site_fract_z
_atom_site_occupancy
Mg1 Mg 0.000 0.000 0.000 1
Be1 Be 0.000 0.500 0.245 1
Te1 Te 0.000 0.000 0.500 1
```

---

(6)
The following is a PBE calculation of Hf2Be2As after structural relaxation, from Alexandria.

Calculated values
* DFT formation energy: -0.342 eV/atom
* crystal system: tetragonal
* ρ: 10.1 g/cm³

Geometry as CIF:
```
data_Hf2Be2As
_chemical_formula_sum 'Hf4 Be4 As2'
_symmetry_space_group_name_H-M 'P 4/m b m'
_symmetry_Int_Tables_number 127
_symmetry_space_group_name_Hall '-P 4 2ab'
_cell_length_a 6.259
_cell_length_b 6.259
_cell_length_c 3.764
_cell_angle_alpha 90.00
_cell_angle_beta 90.00
_cell_angle_gamma 90.00
loop_
_atom_site_label
_atom_site_type_symbol
_atom_site_fract_x
_atom_site_fract_y
_atom_site_fract_z
_atom_site_occupancy
Hf1 Hf 0.175 0.325 0.000 1
Be1 Be 0.117 0.617 0.500 1
As1 As 0.000 0.000 0.500 1
```

---

(7)
The following is a PBE calculation of AcPm2Y6Er after structural relaxation, from Alexandria.

Calculated values
* DFT formation energy: 0.123 eV/atom
* crystal system: monoclinic
* ρ: 5.9 g/cm³

Geometry as CIF:
```
data_AcPm2Y6Er
_chemical_formula_sum 'Ac4 Pm8 Y24 Er4'
_symmetry_space_group_name_H-M 'C 1 2/c 1'
_symmetry_Int_Tables_number 15
_cell_length_a 9.255
_cell_length_b 15.357
_cell_length_c 9.683
_cell_angle_alpha 90.00
_cell_angle_beta 96.13
_cell_angle_gamma 90.00
loop_
_symmetry_equiv_pos_as_xyz
'x,y,z'
'-x,-y,-z'
'-x,y,-z+1/2'
'x,-y,z+1/2'
'x+1/2,y+1/2,z'
'-x+1/2,-y+1/2,-z'
'-x+1/2,y+1/2,-z+1/2'
'x+1/2,-y+1/2,z+1/2'
loop_
_atom_site_label
_atom_site_type_symbol
_atom_site_fract_x
_atom_site_fract_y
_atom_site_fract_z
_atom_site_occupancy
Ac1 Ac 0.000 0.026 0.250 1
Pm1 Pm 0.244 0.444 0.451 1
Y1 Y 0.061 0.191 0.942 1
Y2 Y 0.102 0.392 0.115 1
Y3 Y 0.212 0.227 0.316 1
Er1 Er 0.000 0.411 0.750 1
```

---

(8)
The following is a PBE calculation of Ba2PdPtAu6 after structural relaxation, from Alexandria.

Calculated values
* DFT formation energy: -0.489 eV/atom
* crystal system: monoclinic
* ρ: 11.6 g/cm³

Geometry as CIF:
```
data_Ba2PdPtAu6
_chemical_formula_sum 'Ba4 Pd2 Pt2 Au12'
_symmetry_space_group_name_H-M 'C 1 2/m 1'
_symmetry_Int_Tables_number 12
_cell_length_a 13.384
_cell_length_b 5.600
_cell_length_c 9.481
_cell_angle_alpha 90.00
_cell_angle_beta 134.82
_cell_angle_gamma 90.00
loop_
_symmetry_equiv_pos_as_xyz
'x,y,z'
'-x,-y,-z'
'-x,y,-z'
'x,-y,z'
'x+1/2,y+1/2,z'
'-x+1/2,-y+1/2,-z'
'-x+1/2,y+1/2,-z'
'x+1/2,-y+1/2,z'
loop_
_atom_site_label
_atom_site_type_symbol
_atom_site_fract_x
_atom_site_fract_y
_atom_site_fract_z
_atom_site_occupancy
Ba1 Ba 0.042 0.000 0.290 1
Pd1 Pd 0.000 0.500 0.500 1
Pt1 Pt 0.000 0.500 0.000 1
Au1 Au 0.139 0.500 0.888 1
Au2 Au 0.249 0.249 0.238 1
```